Record 1
Below is a relaxed In2Sb2H16C4Se7N2 crystal, with properties calculated at the PBE-GGA level.

Output
The calculation puts the density of states at the Fermi level at 0.0000 states/eV/atom. The total energy comes out at -309.97 eV per cell. Its space group is C2/c (15).

Cell lengths 7.389, 11.000, 15.369 Å; angles 85.11, 76.09, 70.37 degrees
Fractional positions:
In 0.730 0.191 0.892
In 0.813 0.309 0.608
In 0.270 0.809 0.108
In 0.187 0.691 0.392
Sb 0.774 0.892 0.044
Sb 0.711 0.608 0.456
Sb 0.226 0.108 0.956
Sb 0.289 0.392 0.544
H 0.814 0.466 0.082
H 0.362 0.034 0.418
H 0.186 0.534 0.918
H 0.638 0.966 0.582
H 0.666 0.566 0.167
H 0.398 0.934 0.333
H 0.334 0.434 0.833
H 0.602 0.066 0.667
H 0.985 0.468 0.197
H 0.651 0.032 0.303
H 0.015 0.532 0.803
H 0.349 0.968 0.697
H 0.970 0.311 0.183
H 0.465 0.189 0.317
H 0.030 0.689 0.817
H 0.535 0.811 0.683
H 0.806 0.412 0.276
H 0.493 0.088 0.224
H 0.194 0.588 0.724
H 0.507 0.912 0.776
H 0.494 0.449 0.112
H 0.055 0.051 0.388
H 0.506 0.551 0.888
H 0.945 0.949 0.612
H 0.507 0.410 0.227
H 0.145 0.090 0.273
H 0.493 0.590 0.773
H 0.855 0.910 0.727
H 0.669 0.301 0.138
H 0.108 0.199 0.362
H 0.331 0.699 0.862
H 0.892 0.801 0.638
C 0.886 0.411 0.205
C 0.502 0.089 0.295
C 0.114 0.589 0.795
C 0.498 0.911 0.705
C 0.592 0.402 0.157
C 0.152 0.098 0.343
C 0.408 0.598 0.843
C 0.848 0.902 0.657
Se 0.576 0.250 0.750
Se 0.424 0.750 0.250
Se 0.959 0.947 0.886
Se 0.792 0.553 0.614
Se 0.041 0.053 0.114
Se 0.208 0.447 0.386
Se 0.057 0.679 0.071
Se 0.806 0.821 0.429
Se 0.943 0.321 0.929
Se 0.194 0.179 0.571
Se 0.583 0.774 0.976
Se 0.333 0.726 0.524
Se 0.417 0.226 0.024
Se 0.667 0.274 0.476
N 0.741 0.469 0.149
N 0.358 0.031 0.351
N 0.259 0.531 0.851
N 0.642 0.969 0.649

***

Record 2
Below is a relaxed InH6C3O9 crystal, with properties calculated at the PBE-GGA level.

Output
The calculation puts the density of states at the Fermi level at 0.0000 states/eV/atom. The total energy comes out at -468.28 eV per cell. Its space group is P2_1/c (14).

Cell lengths 7.156, 10.183, 11.162 Å; angles 96.50, 90.00, 90.00 degrees
Fractional positions:
In 0.348 0.765 0.475
In 0.152 0.765 0.975
In 0.848 0.235 0.025
In 0.652 0.235 0.525
H 0.086 0.620 0.576
H 0.142 0.507 0.722
H 0.429 0.415 0.104
H 0.358 0.507 0.222
H 0.505 0.770 0.077
H 0.319 0.102 0.546
H 0.642 0.493 0.778
H 0.819 0.898 0.954
H 0.495 0.230 0.923
H 0.929 0.585 0.396
H 0.603 0.859 0.320
H 0.103 0.141 0.180
H 0.071 0.415 0.604
H 0.995 0.770 0.577
H 0.571 0.585 0.896
H 0.586 0.380 0.924
H 0.897 0.859 0.820
H 0.414 0.620 0.076
H 0.914 0.380 0.424
H 0.858 0.493 0.278
H 0.681 0.898 0.454
H 0.005 0.230 0.423
H 0.181 0.102 0.046
H 0.397 0.141 0.680
C 0.663 0.003 0.147
C 0.163 0.997 0.353
C 0.545 0.528 0.560
C 0.337 0.997 0.853
C 0.455 0.472 0.440
C 0.176 0.876 0.254
C 0.837 0.003 0.647
C 0.955 0.528 0.060
C 0.045 0.472 0.940
C 0.824 0.124 0.746
C 0.324 0.876 0.754
C 0.676 0.124 0.246
O 0.223 0.975 0.457
O 0.600 0.895 0.174
O 0.256 0.770 0.784
O 0.114 0.174 0.099
O 0.614 0.826 0.401
O 0.120 0.896 0.150
O 0.132 0.553 0.881
O 0.620 0.104 0.350
O 0.029 0.350 0.907
O 0.400 0.105 0.826
O 0.777 0.025 0.543
O 0.141 0.496 0.633
O 0.632 0.447 0.619
O 0.868 0.447 0.119
O 0.368 0.553 0.381
O 0.380 0.896 0.650
O 0.244 0.770 0.284
O 0.886 0.826 0.901
O 0.567 0.301 0.973
O 0.641 0.504 0.867
O 0.933 0.301 0.473
O 0.100 0.105 0.326
O 0.433 0.699 0.027
O 0.359 0.496 0.133
O 0.277 0.975 0.957
O 0.723 0.025 0.043
O 0.900 0.895 0.674
O 0.386 0.174 0.599
O 0.744 0.230 0.216
O 0.880 0.104 0.850
O 0.756 0.230 0.716
O 0.067 0.699 0.527
O 0.529 0.650 0.593
O 0.971 0.650 0.093
O 0.471 0.350 0.407
O 0.859 0.504 0.367

***

Record 3
Below is a relaxed InH4CSeO7 crystal, with properties calculated at the PBE-GGA level.

Output
The calculation puts the density of states at the Fermi level at 0.0000 states/eV/atom. The total energy comes out at -158.14 eV per cell. Its space group is P-1 (2).

Cell lengths 5.381, 7.160, 9.578 Å; angles 99.99, 103.62, 108.24 degrees
Fractional positions:
In 0.892 0.960 0.673
In 0.108 0.040 0.327
H 0.203 0.723 0.619
H 0.797 0.277 0.381
H 0.127 0.692 0.770
H 0.873 0.308 0.230
H 0.614 0.314 0.019
H 0.386 0.686 0.981
H 0.881 0.516 0.099
H 0.119 0.484 0.901
C 0.144 0.084 0.019
C 0.856 0.916 0.981
Se 0.447 0.682 0.365
Se 0.553 0.318 0.635
O 0.057 0.716 0.669
O 0.943 0.284 0.331
O 0.459 0.726 0.550
O 0.541 0.274 0.450
O 0.222 0.135 0.911
O 0.778 0.865 0.089
O 0.715 0.840 0.846
O 0.285 0.160 0.154
O 0.792 0.228 0.720
O 0.208 0.772 0.280
O 0.770 0.879 0.411
O 0.230 0.121 0.589
O 0.811 0.367 0.075
O 0.189 0.633 0.925